Compound: LaHo4Tm3
Source: the Alexandria database
Functional: PBE
Structure: relaxed

Cell lengths 3.442, 6.615, 15.113 Å; angles 131.02, 96.54, 90.00 degrees
Sites, in units of the cell vectors:
Tm1 0.000 0.500 0.000
Tm2 0.239 0.217 0.479
Tm3 0.761 0.783 0.521
Ho1 0.373 0.877 0.746
Ho2 0.627 0.123 0.254
Ho3 0.627 0.638 0.253
Ho4 0.373 0.362 0.747
La1 0.500 0.000 0.000

Values from the calculation:
Energy of formation: 169.9 meV per atom
E_tot: -0.3243 Ry per atom
Crystal system: orthorhombic
Space-group type: Immm (71)